Entry 1:
## BaBeSiPt (GGA-PBE)

Data for BaBeSiPt after structural relaxation.

Properties
Calculated density   7.5 Mg/m³
Space group   No. 216
Relative energy among the computed polymorphs   0.54 eV/f.u.
Crystal system   cubic

```
BaBeSiPt
1.0
0.000 3.443 3.443
3.443 0.000 3.443
3.443 3.443 0.000
Ba Be Si Pt
1 1 1 1
direct
0.000 0.000 0.000
0.750 0.750 0.750
0.500 0.500 0.500
0.250 0.250 0.250
```

---

Entry 2:
## Gd2Ge2O5 (GGA-PBE)

Data for Gd2Ge2O5 after structural relaxation.

Properties
Calculated density   8.1 Mg/m³
Space group   No. 123
Relative energy among the computed polymorphs   0.00 eV/f.u.
Crystal system   tetragonal

```
Gd2Ge2O5
1.0
4.081 0.000 0.000
0.000 4.081 0.000
0.000 0.000 6.674
Gd Ge O
2 2 5
direct
0.000 0.000 0.000
0.000 0.000 0.500
0.500 0.500 0.216
0.500 0.500 0.784
0.000 0.500 0.235
0.000 0.500 0.765
0.500 0.000 0.235
0.500 0.000 0.765
0.500 0.500 0.500
```

---

Entry 3:
## Li2CuTc (GGA-PBE)

Data for Li2CuTc after structural relaxation.

Properties
Calculated density   5.5 Mg/m³
Space group   No. 216
Uncorrected energy   -4.06 eV per atom
Crystal system   cubic

```
Li2CuTc
1.0
0.000 2.972 2.972
2.972 0.000 2.972
2.972 2.972 0.000
Li Cu Tc
2 1 1
direct
0.000 0.000 0.000
0.250 0.250 0.250
0.750 0.750 0.750
0.500 0.500 0.500
```

---

Entry 4:
## PrHoGa2Pt4 (GGA-PBE)

Data for PrHoGa2Pt4 after structural relaxation.

Properties
Calculated density   13.0 Mg/m³
Space group   No. 187
Uncorrected energy   -5.97 eV per atom
Crystal system   hexagonal

```
PrHoGa2Pt4
1.0
4.405 0.000 0.000
-2.202 3.815 0.000
0.000 0.000 9.339
Pr Ho Ga Pt
1 1 2 4
direct
0.000 0.000 0.000
0.333 0.667 0.500
0.667 0.333 0.256
0.667 0.333 0.744
0.000 0.000 0.340
0.000 0.000 0.660
0.333 0.667 0.182
0.333 0.667 0.818
```

---

Entry 5:
## PmYSb (GGA-PBE)

Data for PmYSb after structural relaxation.

Properties
Calculated density   6.1 Mg/m³
Space group   No. 216
Relative energy among the computed polymorphs   0.00 eV/f.u.
Crystal system   cubic

```
PmYSb
1.0
0.000 3.636 3.636
3.636 0.000 3.636
3.636 3.636 0.000
Pm Y Sb
1 1 1
direct
0.000 0.000 0.000
0.500 0.500 0.500
0.250 0.250 0.250
```

---

Entry 6:
## Ag2HgI2Br2 (GGA-PBE)

Data for Ag2HgI2Br2 after structural relaxation.

Properties
Calculated density   5.6 Mg/m³
Space group   No. 3
Relative energy among the computed polymorphs   0.05 eV/f.u.
Crystal system   monoclinic

```
Ag2HgI2Br2
1.0
6.279 0.000 0.000
0.000 6.115 0.000
-0.202 0.000 6.427
Ag Hg I Br
2 1 2 2
direct
0.000 0.000 0.000
0.500 0.489 0.000
0.500 0.987 0.500
0.224 0.724 0.731
0.776 0.724 0.269
0.248 0.255 0.260
0.752 0.255 0.740
```

---

Entry 7:
## Zr2ScCu4Si4 (GGA-PBE)

Data for Zr2ScCu4Si4 after structural relaxation.

Properties
Calculated density   5.9 Mg/m³
Space group   No. 71
Uncorrected energy   -6.04 eV per atom
Crystal system   orthorhombic

```
Zr2ScCu4Si4
1.0
-1.975 3.210 6.557
1.975 -3.210 6.557
1.975 3.210 -6.557
Zr Sc Cu Si
2 1 4 4
direct
0.124 0.124 0.000
0.876 0.876 0.000
0.500 0.000 0.500
0.138 0.330 0.807
0.477 0.670 0.807
0.523 0.330 0.193
0.862 0.670 0.193
0.190 0.500 0.690
0.284 0.784 0.500
0.716 0.216 0.500
0.810 0.500 0.310
```

---

Entry 8:
## Zr3B2Pb (GGA-PBE)

Data for Zr3B2Pb after structural relaxation.

Properties
Calculated density   7.6 Mg/m³
Space group   No. 194
Uncorrected energy   -7.58 eV per atom
Crystal system   hexagonal

```
Zr3B2Pb
1.0
3.481 0.000 0.000
-1.740 3.015 0.000
0.000 0.000 20.980
Zr B Pb
6 4 2
direct
0.000 0.000 0.000
0.000 0.000 0.500
0.333 0.667 0.129
0.333 0.667 0.371
0.667 0.333 0.629
0.667 0.333 0.871
0.333 0.667 0.570
0.333 0.667 0.930
0.667 0.333 0.070
0.667 0.333 0.430
0.000 0.000 0.250
0.000 0.000 0.750
```

---

Look up the calculated density of the seventh one. 5.9 Mg/m³

---

What is the calculated density in the third record? 5.5 Mg/m³